Here is a relaxed Tm3Ge13Rh4 crystal from Alexandria. Energies are from GGA-PBEsol.

abc: 8.8488 8.8488 8.8488
angles: 90.00 90.00 90.00
Last column: nearest neighbours and their distance in Å.
Atoms (fractional coordinates):
Tm  0.0000  0.2500  0.5000  12 Ge 3.06-3.18, 4 Rh 3.13
Tm  0.0000  0.7500  0.5000  12 Ge 3.06-3.18, 4 Rh 3.13
Tm  0.2500  0.5000  0.0000  12 Ge 3.06-3.18, 4 Rh 3.13
Tm  0.5000  0.0000  0.2500  12 Ge 3.06-3.18, 4 Rh 3.13
Tm  0.5000  0.0000  0.7500  12 Ge 3.06-3.18, 4 Rh 3.13
Tm  0.7500  0.5000  0.0000  12 Ge 3.06-3.18, 4 Rh 3.13
Ge  0.0000  0.0000  0.0000  12 Ge 3.04
Ge  0.0000  0.3108  0.1463  2 Rh 2.45, 1 Ge 2.59
Ge  0.0000  0.3108  0.8537  2 Rh 2.45, 1 Ge 2.59
Ge  0.0000  0.6892  0.1463  2 Rh 2.45, 1 Ge 2.59
Ge  0.0000  0.6892  0.8537  2 Rh 2.45, 1 Ge 2.59
Ge  0.1463  0.0000  0.3108  2 Rh 2.45, 1 Ge 2.59
Ge  0.1463  0.0000  0.6892  2 Rh 2.45, 1 Ge 2.59
Ge  0.1892  0.5000  0.3537  2 Rh 2.45, 1 Ge 2.59
Ge  0.1892  0.5000  0.6463  2 Rh 2.45, 1 Ge 2.59
Ge  0.3108  0.1463  0.0000  2 Rh 2.45, 1 Ge 2.59
Ge  0.3108  0.8537  0.0000  2 Rh 2.45, 1 Ge 2.59
Ge  0.3537  0.1892  0.5000  2 Rh 2.45, 1 Ge 2.59
Ge  0.3537  0.8108  0.5000  2 Rh 2.45, 1 Ge 2.59
Ge  0.5000  0.3537  0.1892  2 Rh 2.45, 1 Ge 2.59
Ge  0.5000  0.3537  0.8108  2 Rh 2.45, 1 Ge 2.59
Ge  0.5000  0.5000  0.5000  12 Ge 3.04
Ge  0.5000  0.6463  0.1892  2 Rh 2.45, 1 Ge 2.59
Ge  0.5000  0.6463  0.8108  2 Rh 2.45, 1 Ge 2.59
Ge  0.6463  0.1892  0.5000  2 Rh 2.45, 1 Ge 2.59
Ge  0.6463  0.8108  0.5000  2 Rh 2.45, 1 Ge 2.59
Ge  0.6892  0.1463  0.0000  2 Rh 2.45, 1 Ge 2.59
Ge  0.6892  0.8537  0.0000  2 Rh 2.45, 1 Ge 2.59
Ge  0.8108  0.5000  0.3537  2 Rh 2.45, 1 Ge 2.59
Ge  0.8108  0.5000  0.6463  2 Rh 2.45, 1 Ge 2.59
Ge  0.8537  0.0000  0.3108  2 Rh 2.45, 1 Ge 2.59
Ge  0.8537  0.0000  0.6892  2 Rh 2.45, 1 Ge 2.59
Rh  0.2500  0.2500  0.2500  6 Ge 2.45
Rh  0.2500  0.2500  0.7500  6 Ge 2.45
Rh  0.2500  0.7500  0.2500  6 Ge 2.45
Rh  0.2500  0.7500  0.7500  6 Ge 2.45
Rh  0.7500  0.2500  0.2500  6 Ge 2.45
Rh  0.7500  0.2500  0.7500  6 Ge 2.45
Rh  0.7500  0.7500  0.2500  6 Ge 2.45
Rh  0.7500  0.7500  0.7500  6 Ge 2.45

Output
**Total magnetic moment**: 0.00 μB per atom
**E_tot**: -6.160 eV/atom
**ΔE_f**: -0.5875 eV/atom